(1)
Computed, not measured: a geometry-optimized Ba2TaNb structure at the PBE level of DFT.

Its formation energy is 1.666 eV/atom.

It has space group I-42d (No. 122), with a = 9.153 Å, b = 9.153 Å, c = 6.169 Å, α = 90.00°, β = 90.00° and γ = 90.00°. The distinct sites, in fractional coordinates, are Ba at (0.244, 0.250, 0.125), Ta at (0.000, 0.000, 0.500) and Nb at (0.000, 0.000, 0.000).

(2)
Computed, not measured: a geometry-optimized BaTa2Nb structure at the PBE level of DFT.

Its formation energy is 1.172 eV/atom.

It has space group Fm-3m (No. 225), with a = 7.041 Å, b = 7.041 Å, c = 7.041 Å, α = 90.00°, β = 90.00° and γ = 90.00°. The distinct sites, in fractional coordinates, are Ba at (0.000, 0.000, 0.000), Ta at (0.250, 0.250, 0.250) and Nb at (0.000, 0.000, 0.500).

(3)
Computed, not measured: a geometry-optimized Ba3TaNb structure at the PBE level of DFT.

Its formation energy is 1.648 eV/atom.

It has space group Pm-3m (No. 221), with a = 6.114 Å, b = 6.114 Å, c = 6.114 Å, α = 90.00°, β = 90.00° and γ = 90.00°. The distinct sites, in fractional coordinates, are Ba at (0.000, 0.000, 0.500), Ta at (0.000, 0.000, 0.000) and Nb at (0.500, 0.500, 0.500).

(4)
Computed, not measured: a geometry-optimized BaTaNb2W structure at the PBE level of DFT.

Its formation energy is 2.343 eV/atom.

It has space group P4/mmm (No. 123), with a = 4.892 Å, b = 4.892 Å, c = 5.580 Å, α = 90.00°, β = 90.00° and γ = 90.00°. The distinct sites, in fractional coordinates, are Ba at (0.000, 0.000, 0.000), Ta at (0.000, 0.000, 0.500), Nb at (0.000, 0.500, 0.500) and W at (0.500, 0.500, 0.000).